Record 1
The following is a GGA-PBE calculation of a geometry-optimized MgU structure, from Alexandria.

Cell lengths 2.8042, 4.8067, 6.1928 Å; angles 90.00, 90.00, 90.00 degrees
Closest atoms and distances in Å follow each position.
Fractional coordinates of all 4 atoms:
Mg: 0.0000 0.2500 0.1185  4 Mg 2.80-2.82
Mg: 0.0000 0.7500 0.8815  4 Mg 2.80-2.82
U: 0.5000 0.7500 0.4093  4 U 2.65-2.80
U: 0.5000 0.2500 0.5907  4 U 2.65-2.80

Electronic total energy   -6.18 eV/atom
E_form   263 meV/atom


Record 2
The following is a GGA-PBE calculation of a geometry-optimized MgU structure, from Alexandria.

Cell lengths 3.2939, 3.8371, 7.1765 Å; angles 90.00, 87.43, 90.00 degrees
Closest atoms and distances in Å follow each position.
Fractional coordinates of all 4 atoms:
Mg: 0.2367 0.7500 0.6198  6 Mg 3.05-3.29, 5 U 3.28-3.35
Mg: 0.7633 0.2500 0.3802  6 Mg 3.05-3.29, 5 U 3.28-3.35
U: 0.3164 0.7500 0.0815  2 U 2.53
U: 0.6836 0.2500 0.9185  2 U 2.53

Electronic total energy   -6.24 eV/atom
E_form   200 meV/atom


Record 3
The following is a GGA-PBE calculation of a geometry-optimized Mg4U structure, from Alexandria.

Cell lengths 6.0137, 6.0137, 6.0137 Å; angles 90.00, 90.00, 90.00 degrees
Closest atoms and distances in Å follow each position.
Fractional coordinates of all 5 atoms:
Mg: 0.0000 0.0000 0.0000  12 Mg 4.25
Mg: 0.5000 0.0000 0.5000  2 U 3.01
Mg: 0.0000 0.5000 0.5000  2 U 3.01
Mg: 0.5000 0.5000 0.0000  2 U 3.01
U: 0.5000 0.5000 0.5000  6 Mg 3.01

Electronic total energy   -1.96 eV/atom
E_form   1570 meV/atom


Record 4
The following is a GGA-PBE calculation of a geometry-optimized Mg2U2Zn15 structure, from Alexandria.

Cell lengths 6.8749, 6.8749, 6.8749 Å; angles 82.41, 82.41, 82.41 degrees
Closest atoms and distances in Å follow each position.
Fractional coordinates of all 19 atoms:
Mg: 0.1046 0.1046 0.1046  12 Zn 2.74-3.03, 1 Mg 2.80
Mg: 0.8954 0.8954 0.8954  12 Zn 2.74-3.03, 1 Mg 2.80
U: 0.3434 0.3434 0.3434  15 Zn 3.14-3.44, 1 Mg 3.20
U: 0.6566 0.6566 0.6566  15 Zn 3.14-3.44, 1 Mg 3.20
Zn: 0.5000 0.0000 0.0000  8 Zn 2.62-2.67, 2 Mg 2.74
Zn: 0.0000 0.0000 0.5000  8 Zn 2.62-2.67, 2 Mg 2.74
Zn: 0.0000 0.5000 0.0000  8 Zn 2.62-2.67, 2 Mg 2.74
Zn: 0.0000 0.7030 0.2970  8 Zn 2.62-2.83
Zn: 0.7030 0.2970 0.0000  8 Zn 2.62-2.83
Zn: 0.2970 0.0000 0.7030  8 Zn 2.62-2.83
Zn: 0.2970 0.7030 0.0000  8 Zn 2.62-2.83
Zn: 0.7030 0.0000 0.2970  8 Zn 2.62-2.83
Zn: 0.0000 0.2970 0.7030  8 Zn 2.62-2.83
Zn: 0.1594 0.6440 0.6440  8 Zn 2.58-2.83
Zn: 0.6440 0.6440 0.1594  8 Zn 2.58-2.83
Zn: 0.6440 0.1594 0.6440  8 Zn 2.58-2.83
Zn: 0.8406 0.3560 0.3560  8 Zn 2.58-2.83
Zn: 0.3560 0.3560 0.8406  8 Zn 2.58-2.83
Zn: 0.3560 0.8406 0.3560  8 Zn 2.58-2.83

Electronic total energy   -2.40 eV/atom
E_form   -41 meV/atom


Record 5
The following is a GGA-PBE calculation of a geometry-optimized MgU2Zn16 structure, from Alexandria.

Cell lengths 6.8318, 6.8318, 6.8318 Å; angles 82.60, 82.60, 82.60 degrees
Closest atoms and distances in Å follow each position.
Fractional coordinates of all 19 atoms:
Mg: 0.9054 0.9054 0.9054  13 Zn 2.73-2.96
U: 0.6584 0.6584 0.6584  18 Zn 3.16-3.50, 1 Mg 3.28
U: 0.3399 0.3399 0.3399  10 Zn 3.03-3.18
Zn: 0.7010 0.9995 0.2974  8 Zn 2.60-2.80
Zn: 0.9995 0.2974 0.7010  8 Zn 2.60-2.80
Zn: 0.2974 0.7010 0.9995  8 Zn 2.60-2.80
Zn: 0.9995 0.7010 0.2974  8 Zn 2.60-2.80
Zn: 0.7010 0.2974 0.9995  8 Zn 2.60-2.80
Zn: 0.2974 0.9995 0.7010  8 Zn 2.60-2.80
Zn: 0.3534 0.8370 0.3534  9 Zn 2.56-2.84
Zn: 0.8370 0.3534 0.3534  9 Zn 2.56-2.84
Zn: 0.3534 0.3534 0.8370  9 Zn 2.56-2.84
Zn: 0.6454 0.1573 0.6454  8 Zn 2.56-2.80
Zn: 0.1573 0.6454 0.6454  8 Zn 2.56-2.80
Zn: 0.6454 0.6454 0.1573  8 Zn 2.56-2.80
Zn: 0.0004 0.4962 0.0004  9 Zn 2.60-2.68, 1 Mg 2.80
Zn: 0.4962 0.0004 0.0004  9 Zn 2.60-2.68, 1 Mg 2.80
Zn: 0.0004 0.0004 0.4962  9 Zn 2.60-2.68, 1 Mg 2.80
Zn: 0.1115 0.1115 0.1115  6 Zn 2.68-2.84, 1 Mg 2.73

Electronic total energy   -2.39 eV/atom
E_form   -50 meV/atom


Record 6
The following is a GGA-PBE calculation of a geometry-optimized Mg2UZn6 structure, from Alexandria.

Cell lengths 2.8759, 8.0761, 8.5233 Å; angles 118.28, 109.81, 90.00 degrees
Closest atoms and distances in Å follow each position.
Fractional coordinates of all 9 atoms:
Mg: 0.6659 0.3330 0.6660  2 Mg 2.88, 12 Zn 3.01-3.03
Mg: 0.3341 0.6670 0.3340  2 Mg 2.88, 12 Zn 3.01-3.03
U: 0.0000 0.0000 0.0000  2 U 2.88, 12 Zn 3.08-3.10
Zn: 0.8401 0.9999 0.3404  3 Zn 2.56-2.75
Zn: 0.1599 0.0001 0.6596  3 Zn 2.56-2.75
Zn: 0.1599 0.6595 0.6596  3 Zn 2.56-2.75
Zn: 0.5000 0.3401 0.0000  5 Zn 2.58-2.88
Zn: 0.5000 0.6599 0.0000  5 Zn 2.58-2.88
Zn: 0.8401 0.3405 0.3404  3 Zn 2.56-2.75

Electronic total energy   -2.48 eV/atom
E_form   -23 meV/atom


Record 7
The following is a GGA-PBE calculation of a geometry-optimized Mg2UZn9 structure, from Alexandria.

Cell lengths 5.3020, 5.3020, 8.9595 Å; angles 72.79, 72.79, 60.00 degrees
Closest atoms and distances in Å follow each position.
Fractional coordinates of all 12 atoms:
Mg: 0.8602 0.8602 0.4194  12 Zn 2.99-3.14
Mg: 0.1398 0.1398 0.5806  12 Zn 2.99-3.14
U: 0.0000 0.0000 0.0000  18 Zn 3.06-3.42
Zn: 0.6661 0.6661 0.0017  6 Zn 2.64-2.65
Zn: 0.3339 0.3339 0.9983  6 Zn 2.64-2.65
Zn: 0.5000 0.5000 0.5000  6 Zn 2.58
Zn: 0.4118 0.4118 0.2558  7 Zn 2.58-2.70
Zn: 0.9206 0.4118 0.2558  7 Zn 2.58-2.70
Zn: 0.4118 0.9206 0.2558  7 Zn 2.58-2.70
Zn: 0.5882 0.5882 0.7442  7 Zn 2.58-2.70
Zn: 0.5882 0.0794 0.7442  7 Zn 2.58-2.70
Zn: 0.0794 0.5882 0.7442  7 Zn 2.58-2.70

Electronic total energy   -2.20 eV/atom
E_form   -36 meV/atom


Record 8
The following is a GGA-PBE calculation of a geometry-optimized MgZrU structure, from Alexandria.

Cell lengths 3.1664, 5.2981, 8.3779 Å; angles 104.53, 100.89, 90.00 degrees
Closest atoms and distances in Å follow each position.
Fractional coordinates of all 6 atoms:
U: 0.7572 0.2091 0.5144  2 U 2.68
U: 0.2428 0.7909 0.4856  2 U 2.68
Mg: 0.5688 0.7499 0.1375  3 Mg 3.01-3.17, 6 Zr 3.09-3.17, 2 U 3.23
Mg: 0.4312 0.2501 0.8625  3 Mg 3.01-3.17, 6 Zr 3.09-3.17, 2 U 3.23
Zr: 0.9008 0.7346 0.8016  6 Mg 3.09-3.17, 3 U 3.12-3.16, 2 Zr 3.17
Zr: 0.0992 0.2654 0.1984  6 Mg 3.09-3.17, 3 U 3.12-3.16, 2 Zr 3.17

Electronic total energy   -6.96 eV/atom
E_form   179 meV/atom


Record 9
The following is a GGA-PBE calculation of a geometry-optimized MgZr2U structure, from Alexandria.

Cell lengths 5.0149, 5.0149, 5.0149 Å; angles 60.00, 60.00, 60.00 degrees
Closest atoms and distances in Å follow each position.
Fractional coordinates of all 4 atoms:
Mg: 0.5000 0.5000 0.5000  8 Zr 3.07
U: 0.0000 0.0000 0.0000  8 Zr 3.07
Zr: 0.2500 0.2500 0.2500  4 U 3.07, 4 Mg 3.07
Zr: 0.7500 0.7500 0.7500  4 Mg 3.07, 4 U 3.07

Electronic total energy   -7.14 eV/atom
E_form   358 meV/atom


Record 10
The following is a GGA-PBE calculation of a geometry-optimized MgZr2U structure, from Alexandria.

Cell lengths 3.5967, 3.5967, 6.9371 Å; angles 90.00, 90.00, 90.00 degrees
Closest atoms and distances in Å follow each position.
Fractional coordinates of all 4 atoms:
Mg: 0.5000 0.5000 0.5000  8 Zr 3.18, 2 U 3.47
U: 0.5000 0.5000 0.0000  8 Zr 2.99
Zr: 0.0000 0.0000 0.7746  4 U 2.99, 1 Zr 3.13, 4 Mg 3.18
Zr: 0.0000 0.0000 0.2254  4 U 2.99, 1 Zr 3.13, 4 Mg 3.18

Electronic total energy   -7.23 eV/atom
E_form   263 meV/atom


Record 11
The following is a GGA-PBE calculation of a geometry-optimized MgZr2U structure, from Alexandria.

Cell lengths 4.0681, 4.6952, 4.6952 Å; angles 90.00, 90.00, 90.00 degrees
Closest atoms and distances in Å follow each position.
Fractional coordinates of all 4 atoms:
Mg: 0.5000 0.0000 0.0000  8 Zr 3.11, 4 U 3.32
U: 0.5000 0.5000 0.5000  8 Zr 3.11, 4 Mg 3.32
Zr: 0.0000 0.0000 0.5000  4 U 3.11, 4 Mg 3.11, 4 Zr 3.32
Zr: 0.0000 0.5000 0.0000  4 U 3.11, 4 Mg 3.11, 4 Zr 3.32

Electronic total energy   -7.23 eV/atom
E_form   265 meV/atom


Record 12
The following is a GGA-PBE calculation of a geometry-optimized MgV4 structure, from Alexandria.

Cell lengths 4.4862, 4.4862, 4.4862 Å; angles 90.00, 90.00, 90.00 degrees
Closest atoms and distances in Å follow each position.
Fractional coordinates of all 5 atoms:
Mg: 0.5000 0.5000 0.5000  6 V 2.24
V: 0.0000 0.0000 0.0000  12 V 3.17
V: 0.5000 0.0000 0.5000  2 Mg 2.24
V: 0.0000 0.5000 0.5000  2 Mg 2.24
V: 0.5000 0.5000 0.0000  2 Mg 2.24

Electronic total energy   -5.68 eV/atom
E_form   1933 meV/atom